The following is a GGA-PBEsol calculation of a geometry-optimized FeCuRh2 structure, from Alexandria via LeMat-Bulk.

Unit cell a=2.629 b=3.707 c=5.152 alpha=90.00 beta=90.00 gamma=90.00
Positions (direct):
Rh 0.000 0.000 0.993
Rh 0.500 0.500 0.258
Cu 0.000 0.000 0.503
Fe 0.500 0.500 0.746

**Energy relative to the elements**: 0.07 eV per atom
**Total magnetization**: 2.84 μB per formula unit
**N(E_F)**: 4.958 states/eV/f.u.



The following is a GGA-PBEsol calculation of a geometry-optimized VO2F structure, from Alexandria via LeMat-Bulk.

Unit cell a=5.108 b=5.216 c=5.186 alpha=119.92 beta=90.00 gamma=119.32
Positions (direct):
O 0.523 0.414 0.391
O 0.017 0.990 0.448
O 0.974 0.990 0.948
O 0.891 0.414 0.891
F 0.392 0.843 0.823
V 0.233 0.995 0.202
F 0.451 0.843 0.323
V 0.762 0.995 0.702

**Energy relative to the elements, uncorrected**: -2.436 eV per atom
**Total magnetization**: 0.00 μB per formula unit
**N(E_F)**: 0.000 states/eV/f.u.